A plane-wave DFT calculation with PBE was carried out for an optimized crystal structure of TlNiBr3.

Calculated values
Total DFT energy (no corrections) (Ry per atom): -0.229

a = 9.2623 Å, b = 3.8553 Å, c = 15.4348 Å
α = 90.00°, β = 90.00°, γ = 90.00°
Last column: nearest neighbours and their distance in Å.
Space group Pnma (No. 62)
Asymmetric unit:
1 Tl 0.0660 0.2500 0.1743 (multiplicity 4)  8 Br 3.36-3.65
2 Ni 0.1533 0.7500 0.4495 (multiplicity 4)  6 Br 2.51-2.59
3 Br 0.0189 0.7500 0.5948 (multiplicity 4)  3 Ni 2.56-2.59
4 Br 0.1843 0.7500 0.0014 (multiplicity 4)  2 Ni 2.57
5 Br 0.2282 0.2500 0.8035 (multiplicity 4)  1 Ni 2.51